1.
# Ce3SiOs2

A relaxed structure of Ce3SiOs2 (PBE, Alexandria via LeMat-Bulk).

DOS at the Fermi energy   12.68 states/eV per cell
Spin magnetization   0.00 μB/f.u.
ΔE to the lowest computed polymorph   0.00 eV per formula unit
Crystal system   orthorhombic
Formation energy from raw total energies   -1.94 eV per formula unit

The structure in CIF format:
```
data_Ce3SiOs2
_chemical_formula_sum 'Ce6 Si2 Os4'
_cell_length_a 4.105
_cell_length_b 4.403
_cell_length_c 14.241
_cell_angle_alpha 90.00
_cell_angle_beta 90.00
_cell_angle_gamma 90.00
_symmetry_space_group_name_H-M 'I m m m'
_symmetry_Int_Tables_number 71
_symmetry_space_group_name_Hall '-I 2 2'
loop_
_atom_site_label
_atom_site_fract_x
_atom_site_fract_y
_atom_site_fract_z
_atom_site_occupancy
Ce1 0.000 0.000 0.000 1
Ce2 0.000 0.500 0.178 1
Si1 0.000 0.000 0.500 1
Os1 0.000 0.500 0.366 1
```

---

2.
# Ce2SiOs

A relaxed structure of Ce2SiOs (PBE, Alexandria via LeMat-Bulk).

DOS at the Fermi energy   14.20 states/eV per cell
Spin magnetization   0.00 μB/f.u.
ΔE to the lowest computed polymorph   0.00 eV per formula unit
Crystal system   trigonal
Formation energy from raw total energies   -1.98 eV per formula unit

The structure in CIF format:
```
data_Ce2SiOs
_chemical_formula_sum 'Ce6 Si3 Os3'
_cell_length_a 4.3120
_cell_length_b 4.3120
_cell_length_c 15.4086
_cell_angle_alpha 90.00
_cell_angle_beta 90.00
_cell_angle_gamma 120.00
_symmetry_space_group_name_H-M 'R 3 m'
_symmetry_Int_Tables_number 160
_symmetry_space_group_name_Hall 'R 3 -2"'
loop_
_atom_site_label
_atom_site_fract_x
_atom_site_fract_y
_atom_site_fract_z
_atom_site_occupancy
Ce1 0.0000 0.0000 0.0000 1
Ce2 0.0000 0.0000 0.2234 1
Si1 0.0000 0.0000 0.7832 1
Os1 0.0000 0.0000 0.4361 1
```

---

3.
# Ce2Si3Os2

A relaxed structure of Ce2Si3Os2 (PBE, Alexandria via LeMat-Bulk).

DOS at the Fermi energy   19.40 states/eV per cell
Spin magnetization   0.57 μB/f.u.
ΔE to the lowest computed polymorph   0.35 eV per formula unit
Crystal system   monoclinic
Formation energy from raw total energies   -3.70 eV per formula unit

The structure in CIF format:
```
data_Ce2Si3Os2
_chemical_formula_sum 'Ce4 Si6 Os4'
_cell_length_a 10.375
_cell_length_b 4.074
_cell_length_c 6.895
_cell_angle_alpha 90.00
_cell_angle_beta 117.25
_cell_angle_gamma 90.00
_symmetry_space_group_name_H-M 'C 1 2/m 1'
_symmetry_Int_Tables_number 12
loop_
_symmetry_equiv_pos_as_xyz
'x,y,z'
'-x,-y,-z'
'-x,y,-z'
'x,-y,z'
'x+1/2,y+1/2,z'
'-x+1/2,-y+1/2,-z'
'-x+1/2,y+1/2,-z'
'x+1/2,-y+1/2,z'
loop_
_atom_site_label
_atom_site_fract_x
_atom_site_fract_y
_atom_site_fract_z
_atom_site_occupancy
Ce1 0.142 0.000 0.261 1
Si1 0.000 0.500 0.500 1
Si2 0.141 0.500 0.932 1
Os1 0.131 0.000 0.713 1
```

---

4.
# Ce3Si4Os2

A relaxed structure of Ce3Si4Os2 (PBE, Alexandria via LeMat-Bulk).

DOS at the Fermi energy   16.39 states/eV per cell
Spin magnetization   0.00 μB/f.u.
ΔE to the lowest computed polymorph   0.36 eV per formula unit
Crystal system   monoclinic
Formation energy from raw total energies   -5.77 eV per formula unit

The structure in CIF format:
```
data_Ce3Si4Os2
_chemical_formula_sum 'Ce6 Si8 Os4'
_cell_length_a 11.052
_cell_length_b 4.136
_cell_length_c 8.097
_cell_angle_alpha 90.00
_cell_angle_beta 104.17
_cell_angle_gamma 90.00
_symmetry_space_group_name_H-M 'C 1 2/m 1'
_symmetry_Int_Tables_number 12
loop_
_symmetry_equiv_pos_as_xyz
'x,y,z'
'-x,-y,-z'
'-x,y,-z'
'x,-y,z'
'x+1/2,y+1/2,z'
'-x+1/2,-y+1/2,-z'
'-x+1/2,y+1/2,-z'
'x+1/2,-y+1/2,z'
loop_
_atom_site_label
_atom_site_fract_x
_atom_site_fract_y
_atom_site_fract_z
_atom_site_occupancy
Ce1 0.000 0.000 0.000 1
Ce2 0.173 0.500 0.652 1
Si1 0.044 0.000 0.380 1
Si2 0.228 0.500 0.067 1
Os1 0.103 0.500 0.271 1
```